The following is a DFT calculation (PBE-GGA) of a relaxed structure of Pm2PrPaS4.

Properties
Crystal system: monoclinic
DOS(E_F), states/eV/cell: 5.8
Magnetization, μB/f.u.: 0.1
Formation energy from raw total energies, eV/atom: -1.895
Raw total energy, eV/atom: -6.931

Unit cell a=6.9561 b=3.9945 c=6.9602 alpha=90.00 beta=109.15 gamma=90.00
Space group P2/m (No. 10)
Symmetry-distinct sites (fractional):
Pm: 0.0000 0.0000 0.0000
Pm: 0.0000 0.5000 0.5000
Pr: 0.5000 0.0000 0.5000
Pa: 0.5000 0.5000 0.0000
S: 0.2505 0.5000 0.2415
S: 0.2548 0.0000 0.7586

---

The following is a DFT calculation (PBE-GGA) of a relaxed structure of Er2ZnSi2Ru5.

Properties
Crystal system: tetragonal
DOS(E_F), states/eV/cell: 22.9
Magnetization, μB/f.u.: 0.0
Formation energy from raw total energies, eV/atom: -0.549
Raw total energy, eV/atom: -7.312

Unit cell a=9.8685 b=9.8685 c=3.2688 alpha=90.00 beta=90.00 gamma=90.00
Space group P4/mbm (No. 127)
Symmetry-distinct sites (fractional):
Er: 0.1721 0.3279 0.0000
Zn: 0.0000 0.0000 0.0000
Si: 0.1289 0.6289 0.0000
Ru: 0.0000 0.5000 0.5000
Ru: 0.0688 0.7935 0.5000

---

The following is a DFT calculation (PBE-GGA) of a relaxed structure of MgSb2Rh.

Properties
Crystal system: monoclinic
DOS(E_F), states/eV/cell: 2.9
Magnetization, μB/f.u.: 0.0
Formation energy from raw total energies, eV/atom: -0.202
Raw total energy, eV/atom: -4.500

Unit cell a=3.8695 b=4.2709 c=5.4385 alpha=90.00 beta=110.50 gamma=90.00
Space group Pm (No. 6)
Symmetry-distinct sites (fractional):
Mg: 0.0000 0.0000 0.0000
Sb: 0.4395 0.5000 0.8757
Sb: 0.7176 0.0000 0.4445
Rh: 0.1566 0.5000 0.3146

---

Which of these has the lowest DOS(E_F)?
MgSb2Rh

---

Which of these has the lowest DOS(E_F)?
MgSb2Rh